(1)
DFT (PBE-GGA) results for a relaxed YTmFe4 crystal.

Values from the calculation:
space-group type = F-43m, No. 216

abc: 5.113 5.113 5.113
angles: 60.00 60.00 60.00
Fractional positions:
Fe: 0.625 0.625 0.124
Fe: 0.625 0.625 0.625
Fe: 0.124 0.625 0.625
Fe: 0.625 0.124 0.625
Y: 0.250 0.250 0.250
Tm: 0.000 0.000 0.000

=====

(2)
DFT (PBE-GGA) results for a relaxed YTm2Fe crystal.

Values from the calculation:
offset from the most stable computed form = 0.218 eV per atom
space-group type = R-3m, No. 166

abc: 3.503 3.503 9.950
angles: 79.86 79.86 60.00
Fractional positions:
Y: 0.500 0.500 0.500
Tm: 0.729 0.729 0.813
Tm: 0.271 0.271 0.187
Fe: 0.000 0.000 0.000

=====

(3)
DFT (PBE-GGA) results for a relaxed Y2Tm5Fe2 crystal.

Values from the calculation:
space-group type = Cmce, No. 64

abc: 6.950 6.906 10.430
angles: 90.00 70.54 90.00
Fractional positions:
Tm: 0.787 0.821 0.788
Tm: 0.500 0.500 0.000
Tm: 0.425 0.179 0.788
Tm: 0.213 0.179 0.212
Tm: 0.075 0.679 0.212
Tm: 0.575 0.821 0.212
Tm: 0.713 0.321 0.212
Tm: 0.925 0.321 0.788
Tm: 0.287 0.679 0.788
Tm: 0.000 0.000 0.000
Fe: 0.611 0.107 0.000
Fe: 0.389 0.893 0.000
Fe: 0.111 0.393 0.000
Fe: 0.889 0.607 0.000
Y: 0.232 0.000 0.536
Y: 0.732 0.500 0.536
Y: 0.768 0.000 0.464
Y: 0.268 0.500 0.464

=====

(4)
DFT (PBE-GGA) results for a relaxed YTm3Fe crystal.

Values from the calculation:
offset from the most stable computed form = 0.000 eV per atom
space-group type = P2_1/m, No. 11

abc: 3.585 9.093 10.366
angles: 127.11 90.00 90.00
Fractional positions:
Y: 0.250 0.297 0.361
Y: 0.750 0.703 0.639
Tm: 0.750 0.208 0.009
Tm: 0.250 0.792 0.991
Tm: 0.750 0.388 0.713
Tm: 0.250 0.040 0.664
Tm: 0.250 0.612 0.287
Tm: 0.750 0.960 0.336
Fe: 0.250 0.409 0.942
Fe: 0.750 0.591 0.058

=====

(5)
DFT (PBE-GGA) results for a relaxed Y3TmFe8 crystal.

Values from the calculation:
space-group type = R3m, No. 160

abc: 5.131 5.131 8.873
angles: 73.19 73.19 60.00
Fractional positions:
Fe: 0.437 0.437 0.189
Fe: 0.439 0.937 0.686
Fe: 0.936 0.437 0.189
Fe: 0.687 0.687 0.938
Fe: 0.188 0.188 0.437
Fe: 0.437 0.936 0.189
Fe: 0.937 0.937 0.686
Fe: 0.937 0.439 0.686
Y: 0.375 0.375 0.875
Y: 0.500 0.500 0.499
Y: 0.000 0.000 0.001
Tm: 0.875 0.875 0.375

=====

(6)
DFT (PBE-GGA) results for a relaxed YTmZnFe crystal.

Values from the calculation:
space-group type = F-43m, No. 216

abc: 4.873 4.873 4.873
angles: 60.00 60.00 60.00
Fractional positions:
Fe: 0.000 0.000 0.000
Tm: 0.750 0.750 0.750
Zn: 0.500 0.500 0.500
Y: 0.250 0.250 0.250

=====

(7)
DFT (PBE-GGA) results for a relaxed Tm4Zn3Fe crystal.

Values from the calculation:
space-group type = P4/mmm, No. 123

abc: 3.417 3.417 14.192
angles: 90.00 90.00 90.00
Fractional positions:
Tm: 0.000 0.000 0.373
Tm: 0.000 0.000 0.627
Tm: 0.000 0.000 0.890
Tm: 0.000 0.000 0.110
Zn: 0.500 0.500 0.755
Zn: 0.500 0.500 0.500
Zn: 0.500 0.500 0.245
Fe: 0.500 0.500 0.000

=====

(8)
DFT (PBE-GGA) results for a relaxed Tm3ZnFe crystal.

Values from the calculation:
space-group type = C2/m, No. 12

abc: 5.672 5.672 8.897
angles: 66.65 66.65 63.91
Fractional positions:
Tm: 0.978 0.978 0.236
Tm: 0.296 0.296 0.326
Tm: 0.704 0.704 0.674
Tm: 0.022 0.022 0.764
Tm: 0.696 0.696 0.128
Tm: 0.304 0.304 0.872
Zn: 0.707 0.293 0.500
Zn: 0.293 0.707 0.500
Fe: 0.689 0.311 0.000
Fe: 0.311 0.689 0.000

=====

Number 1: energy relative to the elements -0.102 eV/atom, calculated volume 94 Å³/cell, DOS at the Fermi energy 1.40 states/eV per atom. Number 2: energy relative to the elements 0.189 eV/atom, calculated volume 104 Å³/cell, DOS at the Fermi energy 1.17 states/eV per atom. Number 3: energy relative to the elements 0.018 eV/atom, calculated volume 472 Å³/cell, DOS at the Fermi energy 1.39 states/eV per atom. Number 4: energy relative to the elements 0.007 eV/atom, calculated volume 269 Å³/cell, DOS at the Fermi energy 1.31 states/eV per atom. Number 5: energy relative to the elements -0.083 eV/atom, calculated volume 191 Å³/cell, DOS at the Fermi energy 1.34 states/eV per atom. Number 6: energy relative to the elements -0.085 eV/atom, calculated volume 82 Å³/cell, DOS at the Fermi energy 1.41 states/eV per atom. Number 7: energy relative to the elements -0.247 eV/atom, calculated volume 166 Å³/cell, DOS at the Fermi energy 0.75 states/eV per atom. Number 8: energy relative to the elements -0.137 eV/atom, calculated volume 227 Å³/cell, DOS at the Fermi energy 0.91 states/eV per atom.